Material: BaSrZnAs
Method: DFT, PBE
State: optimized geometry

total magnetic moment = 0.0 μB per cell
D(E_F) = 2.47 states/eV/f.u.
formation energy from the elements = -578 meV/atom

CIF file:
```
data_BaSrZnAs
_symmetry_space_group_name_H-M 'P 1'
_symmetry_Int_Tables_number 1
_symmetry_space_group_name_Hall 'P 1'
_cell_length_a 5.592
_cell_length_b 5.592
_cell_length_c 5.592
_cell_angle_alpha 60.00
_cell_angle_beta 60.00
_cell_angle_gamma 60.00
loop_
_atom_site_label
_atom_site_type_symbol
_atom_site_fract_x
_atom_site_fract_y
_atom_site_fract_z
_atom_site_occupancy
Ba1 Ba 0.500 0.500 0.500 1
As1 As 0.750 0.750 0.750 1
Sr1 Sr 0.000 0.000 0.000 1
Zn1 Zn 0.250 0.250 0.250 1
```